# 1
# Na2BeS2 (PBE, optimized geometry)
data_Na2BeS2
_chemical_formula_sum 'Na4 Be2 S4'
_symmetry_space_group_name_H-M 'P 1'
_symmetry_Int_Tables_number 1
_cell_length_a 7.101
_cell_length_b 7.101
_cell_length_c 9.452
_cell_angle_alpha 128.32
_cell_angle_beta 128.32
_cell_angle_gamma 43.06
loop_
_symmetry_equiv_pos_as_xyz
'x,y,z'
loop_
_atom_site_label
_atom_site_fract_x
_atom_site_fract_y
_atom_site_fract_z
Na1 0.079 0.079 0.279
Na2 0.323 0.323 0.977
Na3 0.677 0.677 0.023
Na4 0.921 0.921 0.721
Be1 0.383 0.383 0.355
Be2 0.617 0.617 0.645
S1 0.190 0.190 0.116
S2 0.451 0.451 0.622
S3 0.549 0.549 0.378
S4 0.810 0.810 0.884
# Space group ... C2/m, No. 12
# DFT total energy ... -39.8 eV/cell
# Energy relative to the elements, uncorrected ... -1.053 eV/atom

***

# 2
# InSi2P (PBE, optimized geometry)
data_InSi2P
_chemical_formula_sum 'In2 Si4 P2'
_symmetry_space_group_name_H-M 'P 1'
_symmetry_Int_Tables_number 1
_cell_length_a 9.911
_cell_length_b 3.323
_cell_length_c 6.483
_cell_angle_alpha 90.00
_cell_angle_beta 128.47
_cell_angle_gamma 90.00
loop_
_symmetry_equiv_pos_as_xyz
'x,y,z'
loop_
_atom_site_label
_atom_site_fract_x
_atom_site_fract_y
_atom_site_fract_z
In1 0.000 0.000 0.000
In2 0.500 0.500 0.000
Si1 0.204 0.000 0.598
Si2 0.296 0.500 0.402
Si3 0.704 0.500 0.598
Si4 0.796 0.000 0.402
P1 0.000 0.500 0.500
P2 0.500 0.000 0.500
# Space group ... C2/m, No. 12
# DFT total energy ... -35.1 eV/cell
# Energy relative to the elements, uncorrected ... 0.355 eV/atom

***

# 3
# TlSb2Se (PBE, optimized geometry)
data_TlSb2Se
_chemical_formula_sum 'Tl2 Sb4 Se2'
_symmetry_space_group_name_H-M 'P 1'
_symmetry_Int_Tables_number 1
_cell_length_a 4.436
_cell_length_b 4.436
_cell_length_c 11.338
_cell_angle_alpha 90.00
_cell_angle_beta 90.00
_cell_angle_gamma 90.00
loop_
_symmetry_equiv_pos_as_xyz
'x,y,z'
loop_
_atom_site_label
_atom_site_fract_x
_atom_site_fract_y
_atom_site_fract_z
Tl1 0.000 0.000 0.000
Tl2 0.500 0.500 0.500
Sb1 0.000 0.500 0.250
Sb2 0.000 0.500 0.750
Sb3 0.500 0.000 0.250
Sb4 0.500 0.000 0.750
Se1 0.000 0.000 0.500
Se2 0.500 0.500 0.000
# Space group ... I4/mmm, No. 139
# DFT total energy ... -26.9 eV/cell
# Energy relative to the elements, uncorrected ... 0.167 eV/atom